# 1
Material: Ho5Si2Pb
Method: DFT, PBE
State: relaxed

Properties
E_tot in eV per atom: -5.3072
E_form (uncorrected) in kcal/mol of atoms: -14.45
Total magnetization in μB/atom: 0.000

Cell: 7.8091 7.8091 8.7217 Å, 116.60 116.60 90.00°
With the nearest neighbours (Å) after each atom.
Positions (direct):
Ho  0.5181  0.7038  0.7219  3 Si 2.89-3.01
Ho  0.7962  0.9819  0.2781  3 Si 2.89-3.01
Ho  0.0000  0.0000  0.0000  4 Si 3.00
Ho  0.5000  0.5000  0.0000  4 Si 3.00
Ho  0.2038  0.0181  0.7219  3 Si 2.89-3.01
Ho  0.7038  0.2038  0.7219  3 Si 2.89-3.01
Ho  0.0181  0.5181  0.7219  3 Si 2.89-3.01
Ho  0.2962  0.7962  0.2781  3 Si 2.89-3.01
Ho  0.9819  0.4819  0.2781  3 Si 2.89-3.01
Ho  0.4819  0.2962  0.2781  3 Si 2.89-3.01
Si  0.1439  0.3561  0.0000  8 Ho 2.89-3.01, 1 Si 3.18
Si  0.6439  0.1439  0.0000  8 Ho 2.89-3.01, 1 Si 3.18
Si  0.3561  0.8561  0.0000  8 Ho 2.89-3.01, 1 Si 3.18
Si  0.8561  0.6439  0.0000  8 Ho 2.89-3.01, 1 Si 3.18
Pb  0.7500  0.7500  0.5000  10 Ho 3.30-3.38
Pb  0.2500  0.2500  0.5000  10 Ho 3.30-3.38

# 2
Material: Ga2CoN
Method: DFT, PBE
State: relaxed

Properties
E_tot in eV per atom: -5.0633
E_form (uncorrected) in kcal/mol of atoms: 7.10
Total magnetization in μB/atom: 0.343

Cell: 5.6477 5.6477 5.3226 Å, 57.96 57.96 90.00°
With the nearest neighbours (Å) after each atom.
Positions (direct):
Co  0.0000  0.0000  0.0000  4 Ga 2.43
Co  0.7500  0.2500  0.5000  4 Ga 2.43
Ga  0.5609  0.1250  0.2500  2 N 1.97
Ga  0.1891  0.6250  0.2500  2 N 1.97
Ga  0.3750  0.4391  0.7500  2 N 1.97
Ga  0.8750  0.8109  0.7500  2 N 1.97
N  0.5000  0.5000  0.0000  4 Ga 1.97
N  0.2500  0.7500  0.5000  4 Ga 1.97

# 3
Material: Rb3HfAu
Method: DFT, PBE
State: relaxed

Properties
E_tot in eV per atom: -2.0294
Total magnetization in μB/atom: 0.800

Cell: 6.8847 6.8847 6.8847 Å, 90.00 90.00 90.00°
With the nearest neighbours (Å) after each atom.
Positions (direct):
Hf  0.0000  0.0000  0.0000  6 Rb 3.44
Au  0.5000  0.5000  0.5000  12 Rb 4.87
Rb  0.0000  0.5000  0.0000  2 Hf 3.44
Rb  0.0000  0.0000  0.5000  2 Hf 3.44
Rb  0.5000  0.0000  0.0000  2 Hf 3.44

# 4
Material: Er3NiPd2
Method: DFT, PBE
State: relaxed

Properties
E_tot in eV per atom: -5.7064
Total magnetization in μB/atom: 0.000

Cell: 4.1251 11.1186 11.3277 Å, 90.00 90.00 90.00°
With the nearest neighbours (Å) after each atom.
Positions (direct):
Er  0.2500  0.3738  0.0496  1 Ni 2.88, 5 Pd 2.91-3.02
Er  0.7500  0.6262  0.9504  1 Ni 2.88, 5 Pd 2.91-3.02
Er  0.7500  0.8738  0.4504  1 Ni 2.88, 5 Pd 2.91-3.02
Er  0.2500  0.1262  0.5496  1 Ni 2.88, 5 Pd 2.91-3.02
Er  0.2500  0.6979  0.2246  2 Ni 2.79, 4 Pd 2.85-3.07
Er  0.7500  0.3021  0.7754  2 Ni 2.79, 4 Pd 2.85-3.07
Er  0.7500  0.1979  0.2754  2 Ni 2.79, 4 Pd 2.85-3.07
Er  0.2500  0.8021  0.7246  2 Ni 2.79, 4 Pd 2.85-3.07
Er  0.2500  0.4423  0.3808  3 Ni 2.87-2.91, 5 Pd 2.92-3.09
Er  0.7500  0.5577  0.6192  3 Ni 2.87-2.91, 5 Pd 2.92-3.09
Er  0.7500  0.9423  0.1192  3 Ni 2.87-2.91, 5 Pd 2.92-3.09
Er  0.2500  0.0577  0.8808  3 Ni 2.87-2.91, 5 Pd 2.92-3.09
Ni  0.2500  0.1263  0.1248  3 Pd 2.59, 4 Er 2.79-2.88
Ni  0.7500  0.8737  0.8752  3 Pd 2.59, 4 Er 2.79-2.88
Ni  0.7500  0.6263  0.3752  3 Pd 2.59, 4 Er 2.79-2.88
Ni  0.2500  0.3737  0.6248  3 Pd 2.59, 4 Er 2.79-2.88
Pd  0.2500  0.6943  0.4959  2 Ni 2.59, 1 Er 2.85
Pd  0.7500  0.3057  0.5041  2 Ni 2.59, 1 Er 2.85
Pd  0.7500  0.1943  0.0041  2 Ni 2.59, 1 Er 2.85
Pd  0.2500  0.8057  0.9959  2 Ni 2.59, 1 Er 2.85
Pd  0.2500  0.9972  0.3152  1 Ni 2.59
Pd  0.7500  0.0028  0.6848  1 Ni 2.59
Pd  0.7500  0.4972  0.1848  1 Ni 2.59
Pd  0.2500  0.5028  0.8152  1 Ni 2.59

# 5
Material: PmPrC4
Method: DFT, PBE
State: relaxed

Properties
E_tot in eV per atom: -7.8571
Total magnetization in μB/atom: 0.000

Cell: 3.8478 4.2242 6.8817 Å, 81.37 73.77 62.91°
With the nearest neighbours (Å) after each atom.
Positions (direct):
Pm  0.5000  0.5000  0.5000  10 C 2.56-2.78
Pr  0.0000  0.0000  0.0000  10 C 2.60-2.82
C  0.8020  0.6012  0.7949  1 C 1.30
C  0.2987  0.0973  0.3054  1 C 1.30
C  0.1980  0.3988  0.2051  1 C 1.30
C  0.7013  0.9027  0.6946  1 C 1.30

# 6
Material: DyTmAlIr
Method: DFT, PBE
State: relaxed

Properties
E_tot in eV per atom: -6.0120
Total magnetization in μB/atom: 0.000

Cell: 4.9376 4.9376 4.9376 Å, 60.00 60.00 60.00°
With the nearest neighbours (Å) after each atom.
Positions (direct):
Ir  0.5000  0.5000  0.5000  4 Dy 3.02, 4 Tm 3.02
Tm  0.2500  0.2500  0.2500  4 Al 3.02, 4 Ir 3.02
Al  0.0000  0.0000  0.0000  4 Dy 3.02, 4 Tm 3.02
Dy  0.7500  0.7500  0.7500  4 Ir 3.02, 4 Al 3.02

# 7
Material: KTlAuSe2
Method: DFT, PBE
State: relaxed

Properties
E_tot in eV per atom: -3.2453
E_form (uncorrected) in kcal/mol of atoms: -11.61
Total magnetization in μB/atom: 0.000

Cell: 5.8402 7.2904 7.9627 Å, 109.80 90.00 90.00°
With the nearest neighbours (Å) after each atom.
Positions (direct):
K  0.2240  0.5000  0.7500  6 Se 3.42-3.48, 2 Au 3.75
K  0.7760  0.5000  0.2500  6 Se 3.42-3.48, 2 Au 3.75
Tl  0.4748  0.0000  0.2500  4 Se 2.98-3.11
Tl  0.5252  0.0000  0.7500  4 Se 2.98-3.11
Au  0.0000  0.0000  0.0000  2 Se 2.45
Au  0.0000  0.0000  0.5000  2 Se 2.45
Se  0.7301  0.7285  0.9410  1 Au 2.45
Se  0.7301  0.2715  0.5590  1 Au 2.45
Se  0.2699  0.7285  0.4410  1 Au 2.45
Se  0.2699  0.2715  0.0590  1 Au 2.45

# 8
Material: SrCa2NiTe
Method: DFT, PBE
State: relaxed

Properties
E_tot in eV per atom: -3.3480
E_form (uncorrected) in kcal/mol of atoms: -9.83
Total magnetization in μB/atom: 0.000

Cell: 5.3438 5.3438 5.7045 Å, 90.00 90.00 90.00°
With the nearest neighbours (Å) after each atom.
Positions (direct):
Sr  0.0000  0.0000  0.5000  2 Ni 2.85
Ca  0.0000  0.5000  0.0000  2 Ni 2.67
Ca  0.5000  0.0000  0.0000  2 Ni 2.67
Te  0.5000  0.5000  0.5000  4 Sr 3.78, 8 Ca 3.91
Ni  0.0000  0.0000  0.0000  4 Ca 2.67, 2 Sr 2.85

# 9
Material: CuSiSeBr2
Method: DFT, PBE
State: relaxed

Properties
Energy relative to the lowest polymorph listed for this composition in eV per formula unit: 0.135
E_tot in eV per atom: -2.8830
E_form (uncorrected) in kcal/mol of atoms: 8.92
Total magnetization in μB/atom: 0.000

Cell: 4.8491 4.8491 5.0445 Å, 90.00 90.00 90.00°
With the nearest neighbours (Å) after each atom.
Positions (direct):
Si  0.5000  0.5000  0.5000  4 Se 3.43, 8 Br 3.50
Cu  0.0000  0.0000  0.0000  4 Br 2.42, 2 Se 2.52
Se  0.0000  0.0000  0.5000  2 Cu 2.52
Br  0.0000  0.5000  0.0000  2 Cu 2.42
Br  0.5000  0.0000  0.0000  2 Cu 2.42

# 10
Material: ZnNi3
Method: DFT, PBE
State: relaxed

Properties
E_tot in eV per atom: -3.1374
Total magnetization in μB/atom: 0.293

Cell: 4.4363 4.4363 4.4363 Å, 90.00 90.00 90.00°
With the nearest neighbours (Å) after each atom.
Positions (direct):
Ni  0.5000  0.0000  0.0000  2 Zn 2.22
Ni  0.0000  0.5000  0.0000  2 Zn 2.22
Ni  0.0000  0.0000  0.5000  2 Zn 2.22
Zn  0.0000  0.0000  0.0000  6 Ni 2.22

# 11
Material: YZr2Br
Method: DFT, PBE
State: relaxed

Properties
Energy relative to the lowest polymorph listed for this composition in eV per formula unit: 0.042
E_tot in eV per atom: -6.6173
E_form (uncorrected) in kcal/mol of atoms: -7.12
Total magnetization in μB/atom: 0.000

Cell: 9.9397 9.9397 9.9397 Å, 20.01 20.01 20.01°
With the nearest neighbours (Å) after each atom.
Positions (direct):
Y  0.7519  0.7519  0.7519  3 Br 3.26, 3 Zr 3.32, 6 Y 3.45
Br  0.5070  0.5070  0.5070  3 Zr 2.92, 3 Y 3.26
Zr  0.9945  0.9945  0.9945  9 Zr 3.10-3.45, 3 Y 3.32
Zr  0.2465  0.2465  0.2465  3 Br 2.92, 3 Zr 3.10

# 12
Material: CdGaPS2
Method: DFT, PBE
State: relaxed

Properties
Energy relative to the lowest polymorph listed for this composition in eV per formula unit: 0.000
E_tot in eV per atom: -3.0444
E_form (uncorrected) in kcal/mol of atoms: 11.00
Total magnetization in μB/atom: 0.000

Cell: 4.7055 4.7055 4.8320 Å, 90.00 90.00 90.00°
With the nearest neighbours (Å) after each atom.
Positions (direct):
P  0.0000  0.0000  0.5000  2 Ga 2.42
S  0.0000  0.5000  0.0000  2 Ga 2.35
S  0.5000  0.0000  0.0000  2 Ga 2.35
Ga  0.0000  0.0000  0.0000  4 S 2.35, 2 P 2.42
Cd  0.5000  0.5000  0.5000  4 P 3.33, 8 S 3.37

What did the seventh record say?
Material: KTlAuSe2
Method: DFT, PBE
State: relaxed

Properties
E_tot in eV per atom: -3.2453
E_form (uncorrected) in kcal/mol of atoms: -11.61
Total magnetization in μB/atom: 0.000

Cell: 5.8402 7.2904 7.9627 Å, 109.80 90.00 90.00°
With the nearest neighbours (Å) after each atom.
Positions (direct):
K  0.2240  0.5000  0.7500  6 Se 3.42-3.48, 2 Au 3.75
K  0.7760  0.5000  0.2500  6 Se 3.42-3.48, 2 Au 3.75
Tl  0.4748  0.0000  0.2500  4 Se 2.98-3.11
Tl  0.5252  0.0000  0.7500  4 Se 2.98-3.11
Au  0.0000  0.0000  0.0000  2 Se 2.45
Au  0.0000  0.0000  0.5000  2 Se 2.45
Se  0.7301  0.7285  0.9410  1 Au 2.45
Se  0.7301  0.2715  0.5590  1 Au 2.45
Se  0.2699  0.7285  0.4410  1 Au 2.45
Se  0.2699  0.2715  0.0590  1 Au 2.45